No. 1
Compound: PmHoEr2Tm6
Source: Alexandria
Functional: GGA-PBE
Structure: optimized geometry

Unit cell a=8.987 b=14.874 c=9.386 alpha=90.00 beta=96.62 gamma=90.00
Space group C2/c (No. 15)
Inequivalent atoms, fractional coordinates:
Pm: 0.000 0.026 0.250 (multiplicity 4)
Ho: 0.000 0.410 0.750 (multiplicity 4)
Er: 0.248 0.446 0.453 (multiplicity 8)
Tm: 0.062 0.187 0.942 (multiplicity 8)
Tm: 0.101 0.391 0.117 (multiplicity 8)
Tm: 0.207 0.226 0.317 (multiplicity 8)

ΔE_f = 124 meV/atom

=====

No. 2
Compound: Pm2HoErTm6
Source: Alexandria
Functional: GGA-PBE
Structure: optimized geometry

Unit cell a=8.920 b=14.889 c=9.564 alpha=90.00 beta=98.92 gamma=90.00
Space group C2/c (No. 15)
Inequivalent atoms, fractional coordinates:
Pm: 0.246 0.052 0.043 (multiplicity 8)
Ho: 0.000 0.019 0.750 (multiplicity 4)
Er: 0.000 0.407 0.250 (multiplicity 4)
Tm: 0.064 0.191 0.442 (multiplicity 8)
Tm: 0.103 0.394 0.619 (multiplicity 8)
Tm: 0.201 0.223 0.813 (multiplicity 8)

ΔE_f = 118 meV/atom

=====

No. 3
Compound: PmHo2Er4Tm
Source: Alexandria
Functional: GGA-PBE
Structure: optimized geometry

Unit cell a=13.474 b=13.216 c=6.737 alpha=90.00 beta=120.00 gamma=90.00
Space group C2/c (No. 15)
Inequivalent atoms, fractional coordinates:
Pm: 0.250 0.250 0.000 (multiplicity 4)
Ho: 0.000 0.000 0.000 (multiplicity 4)
Ho: 0.250 0.250 0.500 (multiplicity 4)
Er: 0.000 0.251 0.001 (multiplicity 8)
Er: 0.249 0.499 0.497 (multiplicity 8)
Tm: 0.000 0.500 0.000 (multiplicity 4)

ΔE_f = 448 meV/atom

=====

No. 4
Compound: Pm2Ho4Er2Tm
Source: Alexandria
Functional: GGA-PBE
Structure: optimized geometry

Unit cell a=18.543 b=3.575 c=9.496 alpha=90.00 beta=115.72 gamma=90.00
Space group C2/m (No. 12)
Inequivalent atoms, fractional coordinates:
Pm: 0.165 0.000 0.498 (multiplicity 4)
Ho: 0.019 0.000 0.835 (multiplicity 4)
Ho: 0.186 0.500 0.835 (multiplicity 4)
Er: 0.147 0.500 0.163 (multiplicity 4)
Tm: 0.000 0.500 0.500 (multiplicity 2)

ΔE_f = -2 meV/atom

=====

No. 5
Compound: PmHoEr2Tm2
Source: Alexandria
Functional: GGA-PBE
Structure: optimized geometry

Unit cell a=6.490 b=17.571 c=3.374 alpha=90.00 beta=90.00 gamma=90.00
Space group Pnnm (No. 58)
Inequivalent atoms, fractional coordinates:
Pm: 0.000 0.000 0.000 (multiplicity 2)
Ho: 0.000 0.500 0.000 (multiplicity 2)
Er: 0.226 0.185 0.000 (multiplicity 4)
Tm: 0.223 0.351 0.500 (multiplicity 4)

ΔE_f = 285 meV/atom

=====

No. 6
Compound: Pm3HoErTm
Source: Alexandria
Functional: GGA-PBE
Structure: optimized geometry

Unit cell a=7.997 b=5.073 c=10.110 alpha=90.00 beta=108.52 gamma=90.00
Space group P2_1/m (No. 11)
Inequivalent atoms, fractional coordinates:
Pm: 0.168 0.250 0.043 (multiplicity 2)
Pm: 0.169 0.250 0.542 (multiplicity 2)
Pm: 0.169 0.750 0.792 (multiplicity 2)
Ho: 0.171 0.750 0.293 (multiplicity 2)
Er: 0.498 0.750 0.126 (multiplicity 2)
Tm: 0.499 0.250 0.376 (multiplicity 2)

ΔE_f = 23 meV/atom

=====

Among the records above, which one has the lowest ΔE_f? Pm2Ho4Er2Tm

=====

Which of these has the lowest ΔE_f? Pm2Ho4Er2Tm

=====

Which formula does entry 2 have? Pm2HoErTm6

=====

Look up the ΔE_f of the sixth one. 23 meV/atom